Compound: Mn3CrTc2
Source: Alexandria
Functional: PBE
Structure: optimized geometry

## Properties
Total energy, eV per atom: -9.702
Crystal system: trigonal
DOS(E_F), states/eV per atom: 0.660
V, A^3/atom: 12.1

Lattice parameters (Å, degrees): 4.7002 4.7002 11.3986 90.00 90.00 120.00
Space group R-3m (No. 166, hexagonal axes)
Symmetry-distinct sites (fractional):
Mn (0.0000, 0.5000, 0.0000) x9
Cr (0.0000, 0.0000, 0.5000) x3
Tc (0.0000, 0.0000, 0.1244) x6

Compound: B2C
Source: Alexandria
Functional: PBE
Structure: optimized geometry

## Properties
Relative energy among the computed polymorphs, eV per formula unit: 0.50
Total energy, eV per atom: -7.174
Crystal system: monoclinic
DOS(E_F), states/eV per atom: 0.100
V, A^3/atom: 6.7

Lattice parameters (Å, degrees): 8.647 2.395 8.464 90.00 114.01 90.00
Space group C2/m (No. 12)
Symmetry-distinct sites (fractional):
B (0.015, 0.000, 0.313) x4
B (0.113, 0.000, 0.537) x4
B (0.117, 0.500, 0.839) x4
B (0.230, 0.000, 0.336) x4
C (0.097, 0.500, 0.028) x4
C (0.184, 0.000, 0.125) x4

Compound: Nd2TiGa4Pd3
Source: Alexandria
Functional: PBE
Structure: optimized geometry

## Properties
Total energy, eV per atom: -5.209
Crystal system: tetragonal
DOS(E_F), states/eV per atom: 0.616
V, A^3/atom: 19.7

Lattice parameters (Å, degrees): 4.203 4.203 11.150 90.00 90.00 90.00
Space group P-4m2 (No. 115)
Symmetry-distinct sites (fractional):
Nd (0.000, 0.500, 0.249) x2
Ti (0.000, 0.000, 0.500) x1
Ga (0.000, 0.000, 0.000) x1
Ga (0.000, 0.500, 0.643) x2
Ga (0.500, 0.500, 0.000) x1
Pd (0.000, 0.500, 0.869) x2
Pd (0.500, 0.500, 0.500) x1

Compound: ErTmHgPb
Source: Alexandria
Functional: PBE
Structure: optimized geometry

## Properties
Relative energy among the computed polymorphs, eV per formula unit: 0.00
Total energy, eV per atom: -3.683
Crystal system: orthorhombic
DOS(E_F), states/eV per atom: 0.844
V, A^3/atom: 26.3

Lattice parameters (Å, degrees): 3.939 5.165 5.173 90.00 90.00 90.00
Space group Pmmm (No. 47)
Symmetry-distinct sites (fractional):
Er (0.000, 0.000, 0.000) x1
Tm (0.000, 0.500, 0.500) x1
Hg (0.500, 0.000, 0.500) x1
Pb (0.500, 0.500, 0.000) x1

Compound: CsCdIn2Br5
Source: Alexandria
Functional: PBE
Structure: optimized geometry

## Properties
Total energy, eV per atom: -2.714
Formation energy without anion corrections, eV/atom: -0.98
Crystal system: tetragonal
DOS(E_F), states/eV per atom: 0.000
V, A^3/atom: 36.5

Lattice parameters (Å, degrees): 9.023 9.023 16.141 90.00 90.00 90.00
Space group I4/mcm (No. 140)
Symmetry-distinct sites (fractional):
Cs (0.000, 0.000, 0.250) x4
Cd (0.000, 0.500, 0.250) x4
In (0.166, 0.334, 0.000) x8
Br (0.000, 0.000, 0.000) x4
Br (0.158, 0.342, 0.355) x16

Compound: GeTeP2
Source: Alexandria
Functional: PBE
Structure: optimized geometry

## Properties
Relative energy among the computed polymorphs, eV per formula unit: 1.19
Total energy, eV per atom: -4.008
Formation energy without anion corrections, eV/atom: 0.64
Crystal system: cubic
DOS(E_F), states/eV per atom: 0.695
V, A^3/atom: 19.2

Lattice parameters (Å, degrees): 6.743 6.743 6.743 90.00 90.00 90.00
Space group Fm-3m (No. 225)
Symmetry-distinct sites (fractional):
Ge (0.000, 0.000, 0.000) x4
Te (0.000, 0.000, 0.500) x4
P (0.250, 0.250, 0.250) x8